# 1
A plane-wave DFT calculation with PBE-GGA was carried out for crystalline SrZr at its relaxed geometry.

Unit cell a=13.951 b=3.447 c=5.517 alpha=90.00 beta=90.00 gamma=90.00
Element x y z (fractional)
Sr: 0.379 0.500 0.500
Sr: 0.215 0.500 0.000
Sr: 0.701 0.000 0.500
Sr: 0.537 0.000 0.000
Zr: 0.990 0.000 0.000
Zr: 0.927 0.500 0.500
Zr: 0.108 0.000 0.500
Zr: 0.808 0.500 0.000

Results
Magnetization   0.02 μB/cell
SG   Pmmn, No. 59
Calculated volume   66.32 Å³/f.u.
E_tot   -4.771 eV per atom
Offset from the most stable computed form   77 meV/atom

# 2
A plane-wave DFT calculation with PBE-GGA was carried out for crystalline SrZr at its relaxed geometry.

Unit cell a=6.193 b=15.959 c=5.412 alpha=90.00 beta=90.00 gamma=90.00
Element x y z (fractional)
Zr: 0.871 0.839 0.500
Zr: 0.042 0.250 0.000
Zr: 0.321 0.250 0.500
Zr: 0.462 0.339 0.000
Zr: 0.012 0.750 0.000
Zr: 0.291 0.750 0.500
Zr: 0.462 0.161 0.000
Zr: 0.871 0.661 0.500
Sr: 0.371 0.004 0.500
Sr: 0.840 0.140 0.500
Sr: 0.371 0.496 0.500
Sr: 0.963 0.504 0.000
Sr: 0.840 0.360 0.500
Sr: 0.963 0.996 0.000
Sr: 0.494 0.640 0.000
Sr: 0.494 0.860 0.000

Results
Magnetization   0.91 μB/cell
SG   Pmmn, No. 59
Calculated volume   66.86 Å³/f.u.
E_tot   -4.710 eV per atom
Offset from the most stable computed form   137 meV/atom

# 3
A plane-wave DFT calculation with PBE-GGA was carried out for crystalline SrZr at its relaxed geometry.

Unit cell a=9.185 b=8.973 c=5.435 alpha=90.00 beta=90.00 gamma=104.06
Element x y z (fractional)
Sr: 0.412 0.611 0.500
Sr: 0.307 0.295 0.000
Sr: 0.915 0.760 0.500
Sr: 0.212 0.787 0.000
Sr: 0.810 0.444 0.000
Sr: 0.010 0.268 0.500
Zr: 0.671 0.973 0.500
Zr: 0.631 0.777 0.000
Zr: 0.865 0.026 0.000
Zr: 0.551 0.083 0.000
Zr: 0.357 0.029 0.500
Zr: 0.591 0.278 0.500

Results
Magnetization   1.24 μB/cell
SG   P2_1/m, No. 11
Calculated volume   72.42 Å³/f.u.
E_tot   -4.755 eV per atom
Offset from the most stable computed form   93 meV/atom

# 4
A plane-wave DFT calculation with PBE-GGA was carried out for crystalline SrZr2 at its relaxed geometry.

Unit cell a=6.326 b=6.326 c=6.326 alpha=60.00 beta=60.00 gamma=60.00
Each line ends with the local moment (μB).
Element x y z (fractional)
Sr: 0.000 0.000 0.000  0.01
Sr: 0.250 0.250 0.250  0.01
Zr: 0.625 0.625 0.125  0.26
Zr: 0.625 0.625 0.625  0.30
Zr: 0.125 0.625 0.625  0.33
Zr: 0.625 0.125 0.625  0.27

Results
Magnetization   2.01 μB/cell
SG   Fd-3m, No. 227
Calculated volume   89.52 Å³/f.u.
E_tot   -5.759 eV per atom
Offset from the most stable computed form   189 meV/atom